A plane-wave DFT calculation with PBE was carried out for crystalline Ti2Ge2Pb at its relaxed geometry.

Cell: 4.369 4.369 6.251 Å, 69.54 69.54 90.00°
Element x y z (fractional)
1 Ti 0.750 0.250 0.500
2 Ti 0.250 0.750 0.500
3 Ge 0.619 0.619 0.761
4 Ge 0.381 0.381 0.239
5 Pb 0.000 0.000 0.000

Results
energy of formation from the pure elements = -0.1130 eV per atom
crystal system = tetragonal
space group = I4/mmm (139)

***

A plane-wave DFT calculation with PBE was carried out for crystalline NaMnPt at its relaxed geometry.

Cell: 7.097 2.846 4.945 Å, 90.00 102.85 90.00°
Element x y z (fractional)
1 Mn 0.841 0.500 0.209
2 Mn 0.945 0.000 0.500
3 Na 0.131 0.000 0.032
4 Na 0.497 0.000 0.159
5 Pt 0.269 0.500 0.578
6 Pt 0.704 0.500 0.713

Results
energy of formation from the pure elements = 0.2352 eV per atom
crystal system = monoclinic
space group = Pm (6)

***

A plane-wave DFT calculation with PBE was carried out for crystalline CaSnB at its relaxed geometry.

Cell: 5.323 7.580 6.675 Å, 90.00 90.00 90.00°
Element x y z (fractional)
1 Ca 0.500 0.238 0.458
2 Ca 0.000 0.262 0.958
3 Ca 0.000 0.738 0.958
4 Ca 0.500 0.762 0.458
5 B 0.350 0.500 0.182
6 B 0.650 0.500 0.182
7 B 0.850 0.000 0.682
8 B 0.150 0.000 0.682
9 Sn 0.500 0.500 0.851
10 Sn 0.000 0.000 0.351
11 Sn 0.000 0.500 0.383
12 Sn 0.500 0.000 0.883

Results
energy of formation from the pure elements = -0.1397 eV per atom
crystal system = orthorhombic
space group = Imm2 (44)

***

A plane-wave DFT calculation with PBE was carried out for crystalline NdCo2SiC at its relaxed geometry.

Cell: 3.852 5.634 6.809 Å, 90.00 90.00 109.99°
Element x y z (fractional)
1 Co 0.163 0.327 0.557
2 Co 0.837 0.673 0.057
3 Co 0.837 0.673 0.443
4 Co 0.163 0.327 0.943
5 C 0.000 0.000 0.000
6 C 0.000 0.000 0.500
7 Si 0.274 0.549 0.250
8 Si 0.726 0.451 0.750
9 Nd 0.555 0.110 0.250
10 Nd 0.445 0.890 0.750

Results
ΔE_f (raw) = -0.489 eV per atom
crystal system = orthorhombic
space group = Cmcm (63)

***

A plane-wave DFT calculation with PBE was carried out for crystalline Ba6Bi2AuBr3 at its relaxed geometry.

Cell: 4.992 9.931 11.020 Å, 103.33 103.09 90.00°
Element x y z (fractional)
1 Ba 0.997 0.233 0.994
2 Ba 0.331 0.424 0.661
3 Ba 0.669 0.576 0.339
4 Ba 0.003 0.767 0.006
5 Ba 0.659 0.086 0.318
6 Ba 0.341 0.914 0.682
7 Au 0.500 0.000 0.000
8 Br 0.173 0.836 0.345
9 Br 0.500 0.500 0.000
10 Br 0.827 0.164 0.655
11 Bi 0.162 0.329 0.325
12 Bi 0.838 0.671 0.675

Results
ΔE_f (raw) = -1.314 eV per atom
crystal system = monoclinic
space group = C2/m (12)

***

A plane-wave DFT calculation with PBE was carried out for crystalline NdHoAu at its relaxed geometry.

Cell: 5.018 9.017 7.296 Å, 90.00 90.00 90.00°
Element x y z (fractional)
1 Nd 0.250 0.677 0.988
2 Nd 0.250 0.823 0.488
3 Nd 0.750 0.177 0.512
4 Nd 0.750 0.323 0.012
5 Ho 0.750 0.581 0.649
6 Ho 0.250 0.081 0.851
7 Ho 0.250 0.419 0.351
8 Ho 0.750 0.919 0.149
9 Au 0.750 0.598 0.254
10 Au 0.750 0.902 0.754
11 Au 0.250 0.098 0.246
12 Au 0.250 0.402 0.746

Results
energy of formation from the pure elements = -0.6022 eV per atom
crystal system = orthorhombic
space group = Pnma (62)

***

A plane-wave DFT calculation with PBE was carried out for crystalline TiOsRuS at its relaxed geometry.

Cell: 6.130 2.978 8.317 Å, 90.00 125.93 90.00°
Element x y z (fractional)
1 Os 0.397 0.500 0.248
2 Os 0.397 0.000 0.748
3 Ru 0.849 0.500 0.014
4 Ru 0.849 0.000 0.514
5 Ti 0.195 0.000 0.378
6 Ti 0.195 0.500 0.878
7 S 0.791 0.000 0.764
8 S 0.791 0.500 0.264

Results
ΔE_f (raw) = -0.159 eV per atom
crystal system = monoclinic
space group = Cm (8)

***

A plane-wave DFT calculation with PBE was carried out for crystalline Si2Pd4Pt3 at its relaxed geometry.

Cell: 3.687 6.140 7.006 Å, 111.24 105.26 90.00°
Element x y z (fractional)
1 Si 0.382 0.548 0.764
2 Si 0.618 0.452 0.236
3 Pd 0.231 0.693 0.463
4 Pd 0.769 0.307 0.537
5 Pd 0.396 0.152 0.792
6 Pd 0.604 0.848 0.208
7 Pt 0.000 0.500 0.000
8 Pt 0.906 0.819 0.812
9 Pt 0.094 0.181 0.188

Results
ΔE_f (raw) = -0.371 eV per atom
crystal system = monoclinic
space group = C2/m (12)

***

Question: What is the formula in the fifth record?
Answer: Ba6Bi2AuBr3